1.
BaCrCu | Alexandria via LeMat-Bulk | PBE-GGA | optimized geometry; relative energy among the computed polymorphs = 660 meV/atom; SG = F-43m; DFT formation energy = 1.154 eV/atom
1.0
5.335 0.000 0.000
2.667 4.620 0.000
2.667 1.540 4.356
Cu Ba Cr
1 1 1
Cartesian
5.335 3.080 2.178
8.002 4.620 3.267
0.000 0.000 0.000

***

2.
Ce2Pa2O7 | Alexandria via LeMat-Bulk | PBE-GGA | optimized geometry; formation energy without anion corrections = -3.474 eV/atom; SG = Fd-3m
1.0
6.752 0.000 3.898
2.251 6.366 3.898
0.000 0.000 7.797
O Ce Pa
14 4 4
Cartesian
6.934 4.903 7.797
1.216 3.055 5.690
3.285 4.903 9.903
3.285 0.128 5.690
0.182 0.128 3.898
4.320 3.055 3.898
3.285 4.903 5.690
5.718 1.463 5.690
4.502 3.183 7.797
2.069 1.463 7.797
5.718 1.463 9.903
6.752 4.775 11.695
1.216 3.055 2.107
3.285 0.128 2.107
2.251 3.979 7.797
4.502 0.796 7.797
5.627 3.979 5.848
5.627 3.979 9.746
1.125 0.796 1.949
2.251 3.979 3.898
1.125 0.796 5.848
4.502 0.796 3.898

***

3.
AlAgAu2S4 | Alexandria via LeMat-Bulk | PBE-GGA | optimized geometry; formation energy without anion corrections = -0.223 eV/atom; SG = I-42m
1.0
-2.210 5.141 -3.934
-1.647 -0.496 -5.671
-5.652 1.688 -0.565
Au Al S Ag
2 1 4 1
Cartesian
-3.755 2.621 -6.360
-5.755 3.712 -3.810
-3.650 0.596 -3.118
-7.259 4.571 -5.637
-4.093 0.333 -5.366
-3.661 5.042 -7.042
-4.007 2.720 -2.294
-1.647 -0.496 -5.671

***

Number 1: VASP energy -4.060 eV/atom, magnetic moment 5.10 μB/cell, V 107 Å³ per cell. Number 2: VASP energy -9.434 eV/atom, magnetic moment 4.38 μB/cell, V 335 Å³ per cell. Number 3: VASP energy -3.931 eV/atom, magnetic moment 0.00 μB/cell, V 160 Å³ per cell.